Below is TiMnAsSe2 after structural relaxation, with properties calculated at the PBE-GGA level.

Cell: 4.8414 4.8414 4.5967 Å, 90.00 90.00 90.00°
Space group P4/mmm (No. 123)
Symmetry-distinct sites (fractional):
Ti: 0.0000 0.0000 0.0000
Mn: 0.5000 0.5000 0.5000
As: 0.5000 0.5000 0.0000
Se: 0.0000 0.5000 0.5000

Values from the calculation:
The calculation puts the uncorrected formation energy at 1.065 eV/f.u.